# 1
# LaMn3H | Alexandria | GGA-PBE | relaxed
data_LaMn3H
_symmetry_space_group_name_H-M 'P m -3 m'
_symmetry_Int_Tables_number 221
_symmetry_space_group_name_Hall '-P 4 2 3'
_cell_length_a 4.151
_cell_length_b 4.151
_cell_length_c 4.151
_cell_angle_alpha 90.00
_cell_angle_beta 90.00
_cell_angle_gamma 90.00
loop_
_atom_site_label
_atom_site_type_symbol
_atom_site_fract_x
_atom_site_fract_y
_atom_site_fract_z
La1 La 0.000 0.000 0.000
Mn1 Mn 0.000 0.500 0.500
H1 H 0.500 0.500 0.500
# energy above the lowest structure with this stoichiometry	0.00	kcal/mol of atoms
# M_tot	8.7	μB per formula unit



# 2
# IrC8 | Alexandria | GGA-PBE | relaxed
data_IrC8
_symmetry_space_group_name_H-M 'I 4/m m m'
_symmetry_Int_Tables_number 139
_symmetry_space_group_name_Hall '-I 4 2'
_cell_length_a 5.536
_cell_length_b 5.536
_cell_length_c 7.455
_cell_angle_alpha 90.00
_cell_angle_beta 90.00
_cell_angle_gamma 90.00
loop_
_atom_site_label
_atom_site_type_symbol
_atom_site_fract_x
_atom_site_fract_y
_atom_site_fract_z
Ir1 Ir 0.000 0.000 0.000
C1 C 0.000 0.372 0.000
C2 C 0.243 0.243 0.500
# M_tot	0.0	μB per formula unit
# ΔH_f (0 K)	216.8	kJ per mole of atoms



# 3
# BaMgTc | Alexandria | GGA-PBE | relaxed
data_BaMgTc
_symmetry_space_group_name_H-M 'F -4 3 m'
_symmetry_Int_Tables_number 216
_symmetry_space_group_name_Hall 'F -4 2 3'
_cell_length_a 7.562
_cell_length_b 7.562
_cell_length_c 7.562
_cell_angle_alpha 90.00
_cell_angle_beta 90.00
_cell_angle_gamma 90.00
loop_
_atom_site_label
_atom_site_type_symbol
_atom_site_fract_x
_atom_site_fract_y
_atom_site_fract_z
Ba1 Ba 0.000 0.000 0.000
Mg1 Mg 0.250 0.250 0.250
Tc1 Tc 0.250 0.250 0.750
# energy above the lowest structure with this stoichiometry	19.87	kcal/mol of atoms
# M_tot	3.1	μB per formula unit
# ΔH_f (0 K)	148.7	kJ per mole of atoms



# 4
# Ga2CuHg | Alexandria | GGA-PBE | relaxed
data_Ga2CuHg
_symmetry_space_group_name_H-M 'I -4 2 d'
_symmetry_Int_Tables_number 122
_symmetry_space_group_name_Hall 'I -4 2bw'
_cell_length_a 7.859
_cell_length_b 7.859
_cell_length_c 5.208
_cell_angle_alpha 90.00
_cell_angle_beta 90.00
_cell_angle_gamma 90.00
loop_
_atom_site_label
_atom_site_type_symbol
_atom_site_fract_x
_atom_site_fract_y
_atom_site_fract_z
Ga1 Ga 0.189 0.750 0.125
Cu1 Cu 0.000 0.000 0.000
Hg1 Hg 0.000 0.000 0.500
# M_tot	0.0	μB per formula unit
# ΔH_f (0 K)	14.0	kJ per mole of atoms



# 5
# ZrTcAs | Alexandria | GGA-PBE | relaxed
data_ZrTcAs
_symmetry_space_group_name_H-M 'I 4 m m'
_symmetry_Int_Tables_number 107
_symmetry_space_group_name_Hall 'I 4 -2'
_cell_length_a 3.178
_cell_length_b 3.178
_cell_length_c 10.293
_cell_angle_alpha 90.00
_cell_angle_beta 90.00
_cell_angle_gamma 90.00
loop_
_atom_site_label
_atom_site_type_symbol
_atom_site_fract_x
_atom_site_fract_y
_atom_site_fract_z
Zr1 Zr 0.000 0.000 0.000
Tc1 Tc 0.000 0.000 0.682
As1 As 0.000 0.000 0.302
# energy above the lowest structure with this stoichiometry	9.19	kcal/mol of atoms
# M_tot	0.0	μB per formula unit
# ΔH_f (0 K)	-38.5	kJ per mole of atoms



# 6
# Y2CrP | Alexandria | GGA-PBE | relaxed
data_Y2CrP
_symmetry_space_group_name_H-M 'C 1 2/m 1'
_symmetry_Int_Tables_number 12
_symmetry_space_group_name_Hall '-C 2y'
_cell_length_a 13.498
_cell_length_b 3.898
_cell_length_c 6.701
_cell_angle_alpha 90.00
_cell_angle_beta 96.60
_cell_angle_gamma 90.00
loop_
_atom_site_label
_atom_site_type_symbol
_atom_site_fract_x
_atom_site_fract_y
_atom_site_fract_z
Y1 Y 0.047 0.000 0.225
Y2 Y 0.227 0.000 0.746
Cr1 Cr 0.068 0.500 0.558
P1 P 0.114 0.500 0.924
# M_tot	0.0	μB per formula unit
# ΔH_f (0 K)	-49.2	kJ per mole of atoms



# 7
# Rb2Cd2Pt | Alexandria | GGA-PBE | relaxed
data_Rb2Cd2Pt
_symmetry_space_group_name_H-M 'R -3 m'
_symmetry_Int_Tables_number 166
_symmetry_space_group_name_Hall '-R 3 2"'
_cell_length_a 4.7781
_cell_length_b 4.7781
_cell_length_c 32.5566
_cell_angle_alpha 90.00
_cell_angle_beta 90.00
_cell_angle_gamma 120.00
loop_
_atom_site_label
_atom_site_type_symbol
_atom_site_fract_x
_atom_site_fract_y
_atom_site_fract_z
Rb1 Rb 0.0000 0.0000 0.0733
Cd1 Cd 0.0000 0.0000 0.1838
Pt1 Pt 0.0000 0.0000 0.5000
# energy above the lowest structure with this stoichiometry	0.00	kcal/mol of atoms
# M_tot	0.0	μB per formula unit
# ΔH_f (0 K)	-15.9	kJ per mole of atoms



# 8
# FeCuAg2 | Alexandria | GGA-PBE | relaxed
data_FeCuAg2
_symmetry_space_group_name_H-M 'I -4 m 2'
_symmetry_Int_Tables_number 119
_symmetry_space_group_name_Hall 'I -4 -2'
_cell_length_a 3.962
_cell_length_b 3.962
_cell_length_c 7.755
_cell_angle_alpha 90.00
_cell_angle_beta 90.00
_cell_angle_gamma 90.00
loop_
_atom_site_label
_atom_site_type_symbol
_atom_site_fract_x
_atom_site_fract_y
_atom_site_fract_z
Fe1 Fe 0.000 0.000 0.000
Cu1 Cu 0.000 0.500 0.250
Ag1 Ag 0.000 0.000 0.500
Ag2 Ag 0.000 0.500 0.750
# energy above the lowest structure with this stoichiometry	2.94	kcal/mol of atoms
# M_tot	3.1	μB per formula unit
# ΔH_f (0 K)	33.0	kJ per mole of atoms